No. 1
# YMoCl

An optimized crystal structure of YMoCl (PBE, Alexandria).

Properties
total magnetic moment = 0.000 μB/atom
calculated total energy = -6.352 eV/atom

Unit cell a=3.074 b=3.074 c=15.652 alpha=90.00 beta=90.00 gamma=90.00
Space group I4mm (No. 107)
One atom of each set of equivalent atoms:
Y 0.000 0.000 0.000 x2
Mo 0.000 0.000 0.358 x2
Cl 0.000 0.000 0.617 x2

No. 2
# Cs2ZnFe

An optimized crystal structure of Cs2ZnFe (PBE, Alexandria).

Properties
total magnetic moment = 0.689 μB/atom
calculated total energy = -1.985 eV/atom
calculated formation energy = 3.5 eV per formula unit

Unit cell a=8.970 b=8.970 c=8.970 alpha=90.00 beta=90.00 gamma=90.00
Space group Fm-3m (No. 225)
One atom of each set of equivalent atoms:
Cs 0.250 0.250 0.250 x8
Zn 0.000 0.000 0.000 x4
Fe 0.000 0.000 0.500 x4

No. 3
# Cs2In2Hg3

An optimized crystal structure of Cs2In2Hg3 (PBE, Alexandria).

Properties
total magnetic moment = 0.000 μB/atom
calculated total energy = -1.337 eV/atom
calculated formation energy = -1.3 eV per formula unit

Unit cell a=13.288 b=5.323 c=8.593 alpha=90.00 beta=119.39 gamma=90.00
Space group C2/m (No. 12)
One atom of each set of equivalent atoms:
Cs 0.101 0.000 0.338 x4
In 0.249 0.500 0.113 x4
Hg 0.000 0.500 0.000 x2
Hg 0.115 0.500 0.696 x4

No. 4
# La3TmTe4

An optimized crystal structure of La3TmTe4 (PBE, Alexandria).

Properties
total magnetic moment = 0.000 μB/atom
calculated total energy = -5.460 eV/atom

Unit cell a=9.140 b=12.767 c=4.457 alpha=90.00 beta=90.00 gamma=90.00
Space group Cmmm (No. 65)
One atom of each set of equivalent atoms:
La 0.000 0.000 0.000 x2
La 0.250 0.250 0.500 x4
Tm 0.000 0.500 0.000 x2
Te 0.000 0.258 0.000 x4
Te 0.235 0.500 0.500 x4

No. 5
# YTm2Bi

An optimized crystal structure of YTm2Bi (PBE, Alexandria).

Properties
total magnetic moment = 0.000 μB/atom
calculated total energy = -4.915 eV/atom
calculated formation energy = -0.4 eV per formula unit

Unit cell a=7.723 b=7.723 c=7.723 alpha=90.00 beta=90.00 gamma=90.00
Space group Fm-3m (No. 225)
One atom of each set of equivalent atoms:
Y 0.000 0.000 0.000 x4
Tm 0.250 0.250 0.250 x8
Bi 0.000 0.000 0.500 x4

No. 6
# BiNF2

An optimized crystal structure of BiNF2 (PBE, Alexandria).

Properties
total magnetic moment = 0.723 μB/atom
calculated total energy = -3.882 eV/atom

Unit cell a=3.4411 b=3.4411 c=26.2056 alpha=90.00 beta=90.00 gamma=120.00
Space group R-3m (No. 166, hexagonal axes)
One atom of each set of equivalent atoms:
Bi 0.0000 0.0000 0.0000 x3
N 0.0000 0.0000 0.5000 x3
F 0.0000 0.0000 0.3920 x6

No. 7
# YPuCd

An optimized crystal structure of YPuCd (PBE, Alexandria).

Properties
total magnetic moment = 0.028 μB/atom
calculated total energy = -7.210 eV/atom
calculated formation energy = 0.1 eV per formula unit

Unit cell a=12.776 b=3.378 c=8.449 alpha=90.00 beta=120.92 gamma=90.00
Space group Cm (No. 8)
One atom of each set of equivalent atoms:
Y 0.000 0.000 0.000 x2
Y 0.223 0.500 0.936 x2
Pu 0.233 0.500 0.334 x2
Pu 0.245 0.000 0.567 x2
Cd 0.006 0.000 0.632 x2
Cd 0.455 0.000 0.294 x2

No. 8
# AlNi

An optimized crystal structure of AlNi (PBE, Alexandria).

Properties
total magnetic moment = 0.000 μB/atom
calculated total energy = -4.219 eV/atom
calculated formation energy = 1.1 eV per formula unit

Unit cell a=6.531 b=6.531 c=6.531 alpha=90.00 beta=90.00 gamma=90.00
Space group Pm-3n (No. 223)
One atom of each set of equivalent atoms:
Al 0.000 0.250 0.500 x6
Ni 0.000 0.500 0.250 x6

No. 9
# Sc4MnP

An optimized crystal structure of Sc4MnP (PBE, Alexandria).

Properties
total magnetic moment = 0.506 μB/atom
calculated total energy = -6.154 eV/atom
calculated formation energy = 3.0 eV per formula unit

Unit cell a=8.024 b=8.024 c=8.024 alpha=90.00 beta=90.00 gamma=90.00
Space group F-43m (No. 216)
One atom of each set of equivalent atoms:
Sc 0.124 0.124 0.124 x16
Mn 0.250 0.250 0.750 x4
P 0.000 0.000 0.500 x4

No. 10
# LiDyZn2Pt2

An optimized crystal structure of LiDyZn2Pt2 (PBE, Alexandria).

Properties
total magnetic moment = 0.000 μB/atom
calculated total energy = -4.295 eV/atom
calculated formation energy = -4.6 eV per formula unit

Unit cell a=4.3421 b=4.3421 c=6.5017 alpha=90.00 beta=90.00 gamma=120.00
Space group P-3m1 (No. 164)
One atom of each set of equivalent atoms:
Li 0.0000 0.0000 0.0000 x1
Dy 0.0000 0.0000 0.5000 x1
Zn 0.3333 0.6667 0.8267 x2
Pt 0.3333 0.6667 0.2382 x2

No. 11
# Ca3ICl2O6

An optimized crystal structure of Ca3ICl2O6 (PBE, Alexandria).

Properties
total magnetic moment = 0.089 μB/atom
calculated total energy = -5.019 eV/atom

Unit cell a=12.008 b=6.579 c=5.409 alpha=90.00 beta=93.75 gamma=90.00
Space group C2/m (No. 12)
One atom of each set of equivalent atoms:
Ca 0.000 0.000 0.000 x2
Ca 0.250 0.250 0.500 x4
I 0.000 0.500 0.500 x2
Cl 0.207 0.000 0.872 x4
O 0.054 0.283 0.299 x8
O 0.143 0.500 0.667 x4

No. 12
# ReSiNF2

An optimized crystal structure of ReSiNF2 (PBE, Alexandria).

Properties
total magnetic moment = 0.000 μB/atom
calculated total energy = -6.051 eV/atom

Unit cell a=4.244 b=4.244 c=3.822 alpha=90.00 beta=90.00 gamma=90.00
Space group P4/mmm (No. 123)
One atom of each set of equivalent atoms:
Re 0.000 0.000 0.000 x1
Si 0.500 0.500 0.500 x1
N 0.000 0.000 0.500 x1
F 0.000 0.500 0.000 x2

No. 13
# NaCu2Ge2

An optimized crystal structure of NaCu2Ge2 (PBE, Alexandria).

Properties
total magnetic moment = 0.000 μB/atom
calculated total energy = -3.782 eV/atom
calculated formation energy = -0.2 eV per formula unit

Unit cell a=6.492 b=5.658 c=9.744 alpha=90.00 beta=90.00 gamma=90.00
Space group Cmcm (No. 63)
One atom of each set of equivalent atoms:
Na 0.000 0.217 0.250 x4
Cu 0.207 0.000 0.000 x8
Ge 0.000 0.302 0.615 x8

No. 14
# LaBi3Ru

An optimized crystal structure of LaBi3Ru (PBE, Alexandria).

Properties
total magnetic moment = 0.000 μB/atom
calculated total energy = -5.088 eV/atom
calculated formation energy = 0.4 eV per formula unit

Unit cell a=5.358 b=5.358 c=5.358 alpha=90.00 beta=90.00 gamma=90.00
Space group Pm-3m (No. 221)
One atom of each set of equivalent atoms:
La 0.000 0.000 0.000 x1
Bi 0.000 0.500 0.500 x3
Ru 0.500 0.500 0.500 x1

No. 15
# FeBiSb3

An optimized crystal structure of FeBiSb3 (PBE, Alexandria).

Properties
total magnetic moment = 0.269 μB/atom
calculated total energy = -4.613 eV/atom

Unit cell a=5.045 b=5.045 c=5.045 alpha=90.00 beta=90.00 gamma=90.00
Space group Pm-3m (No. 221)
One atom of each set of equivalent atoms:
Fe 0.000 0.000 0.000 x1
Bi 0.500 0.500 0.500 x1
Sb 0.000 0.000 0.500 x3

No. 16
# Sm4Te3Rh

An optimized crystal structure of Sm4Te3Rh (PBE, Alexandria).

Properties
total magnetic moment = 0.000 μB/atom
calculated total energy = -5.662 eV/atom

Unit cell a=9.012 b=12.487 c=4.281 alpha=90.00 beta=90.00 gamma=90.00
Space group Cmmm (No. 65)
One atom of each set of equivalent atoms:
Sm 0.000 0.233 0.000 x4
Sm 0.213 0.000 0.500 x4
Te 0.000 0.500 0.000 x2
Te 0.250 0.250 0.500 x4
Rh 0.000 0.000 0.000 x2

No. 17
# ScTi2AlAu

An optimized crystal structure of ScTi2AlAu (PBE, Alexandria).

Properties
total magnetic moment = 0.000 μB/atom
calculated total energy = -4.866 eV/atom
calculated formation energy = 4.8 eV per formula unit

Unit cell a=4.610 b=4.610 c=5.009 alpha=90.00 beta=90.00 gamma=90.00
Space group P4/mmm (No. 123)
One atom of each set of equivalent atoms:
Sc 0.000 0.000 0.000 x1
Ti 0.000 0.500 0.000 x2
Al 0.500 0.500 0.500 x1
Au 0.000 0.000 0.500 x1

No. 18
# LiDyPS4

An optimized crystal structure of LiDyPS4 (PBE, Alexandria).

Properties
total magnetic moment = 0.000 μB/atom
calculated total energy = -4.988 eV/atom

Unit cell a=7.414 b=7.636 c=10.340 alpha=90.00 beta=90.00 gamma=90.00
Space group Imma (No. 74)
One atom of each set of equivalent atoms:
Li 0.250 0.250 0.250 x4
Dy 0.000 0.000 0.000 x4
P 0.000 0.250 0.631 x4
S 0.000 0.016 0.736 x8
S 0.239 0.250 0.498 x8

No. 19
# KZnP2

An optimized crystal structure of KZnP2 (PBE, Alexandria).

Properties
total magnetic moment = 0.000 μB/atom
calculated total energy = -3.033 eV/atom
calculated formation energy = 1.1 eV per formula unit

Unit cell a=3.849 b=4.730 c=8.603 alpha=90.00 beta=90.00 gamma=90.00
Space group Cmmm (No. 65)
One atom of each set of equivalent atoms:
K 0.000 0.000 0.000 x2
Zn 0.000 0.000 0.500 x2
P 0.000 0.500 0.297 x4

No. 20
# NaTlGe

An optimized crystal structure of NaTlGe (PBE, Alexandria).

Properties
total magnetic moment = 0.000 μB/atom
calculated total energy = -2.614 eV/atom
calculated formation energy = 0.5 eV per formula unit

Unit cell a=5.617 b=8.184 c=6.784 alpha=90.00 beta=90.00 gamma=90.00
Space group Cmcm (No. 63)
One atom of each set of equivalent atoms:
Na 0.000 0.148 0.250 x4
Tl 0.000 0.500 0.000 x4
Ge 0.000 0.215 0.750 x4

No. 21
# PmGa2Pb

An optimized crystal structure of PmGa2Pb (PBE, Alexandria).

Properties
total magnetic moment = 0.000 μB/atom
calculated total energy = -3.872 eV/atom
calculated formation energy = -1.0 eV per formula unit

Unit cell a=3.778 b=3.778 c=6.873 alpha=90.00 beta=90.00 gamma=90.00
Space group P4/mmm (No. 123)
One atom of each set of equivalent atoms:
Pm 0.000 0.000 0.000 x1
Ga 0.500 0.500 0.270 x2
Pb 0.000 0.000 0.500 x1

No. 22
# RbFe2Hg

An optimized crystal structure of RbFe2Hg (PBE, Alexandria).

Properties
total magnetic moment = 1.330 μB/atom
calculated total energy = -3.675 eV/atom
calculated formation energy = 3.5 eV per formula unit

Unit cell a=4.838 b=4.838 c=19.231 alpha=90.00 beta=90.00 gamma=90.00
Space group I4_1/amd (No. 141, origin choice 2)
One atom of each set of equivalent atoms:
Rb 0.000 0.250 0.375 x4
Fe 0.000 0.000 0.000 x8
Hg 0.000 0.250 0.875 x4

No. 23
# RbCaCrCu2

An optimized crystal structure of RbCaCrCu2 (PBE, Alexandria).

Properties
total magnetic moment = 0.979 μB/atom
calculated total energy = -2.459 eV/atom
calculated formation energy = 8.5 eV per formula unit

Unit cell a=5.289 b=5.289 c=5.849 alpha=90.00 beta=90.00 gamma=90.00
Space group P4/mmm (No. 123)
One atom of each set of equivalent atoms:
Rb 0.000 0.000 0.000 x1
Ca 0.000 0.000 0.500 x1
Cr 0.500 0.500 0.500 x1
Cu 0.000 0.500 0.000 x2

No. 24
# TbZrNbN3

An optimized crystal structure of TbZrNbN3 (PBE, Alexandria).

Properties
total magnetic moment = 0.000 μB/atom
calculated total energy = -9.521 eV/atom

Unit cell a=5.660 b=3.272 c=8.450 alpha=90.00 beta=102.72 gamma=90.00
Space group P2_1/m (No. 11)
One atom of each set of equivalent atoms:
Tb 0.147 0.250 0.190 x2
Zr 0.267 0.750 0.549 x2
Nb 0.375 0.250 0.868 x2
N 0.058 0.250 0.662 x2
N 0.242 0.750 0.992 x2
N 0.458 0.750 0.343 x2

No. 25
# CoNiTeSe

An optimized crystal structure of CoNiTeSe (PBE, Alexandria).

Properties
total magnetic moment = 0.015 μB/atom
calculated total energy = -4.959 eV/atom

Unit cell a=6.717 b=3.874 c=6.630 alpha=90.00 beta=109.58 gamma=90.00
Space group Cm (No. 8)
One atom of each set of equivalent atoms:
Co 0.000 0.000 0.000 x2
Ni 0.481 0.000 0.436 x2
Te 0.372 0.500 0.609 x2
Se 0.356 0.000 0.069 x2

No. 26
# CeEuGaPb

An optimized crystal structure of CeEuGaPb (PBE, Alexandria).

Properties
total magnetic moment = 2.048 μB/atom
calculated total energy = -6.134 eV/atom
calculated formation energy = -1.6 eV per formula unit

Unit cell a=7.700 b=7.700 c=7.700 alpha=90.00 beta=90.00 gamma=90.00
Space group F-43m (No. 216)
One atom of each set of equivalent atoms:
Ce 0.000 0.000 0.000 x4
Eu 0.000 0.000 0.500 x4
Ga 0.250 0.250 0.750 x4
Pb 0.250 0.250 0.250 x4